# 1
First-principles (PBE) data for a relaxed BaAgPbS2 crystal, as listed in Alexandria via LeMat-Bulk.

## Properties
ΔE_f (raw) (eV/atom): -0.808
Total DFT energy (no corrections) (eV per cell): -41.6

Structure (CIF):
```
data_BaAgPbS2
_cell_length_a 7.351
_cell_length_b 4.637
_cell_length_c 8.573
_cell_angle_alpha 90.00
_cell_angle_beta 99.94
_cell_angle_gamma 90.00
_symmetry_space_group_name_H-M 'P 1 2/c 1'
_symmetry_Int_Tables_number 13
_symmetry_space_group_name_Hall '-P 2yc'
loop_
_atom_site_label
_atom_site_fract_x
_atom_site_fract_y
_atom_site_fract_z
Ba1 0.000 0.178 0.250
Ag1 0.500 0.000 0.000
Pb1 0.500 0.479 0.750
S1 0.222 0.318 0.963
```

***

# 2
First-principles (PBE) data for a relaxed Ba2Ag3Sb4Pb crystal, as listed in Alexandria via LeMat-Bulk.

## Properties
ΔE_f (raw) (eV/atom): -0.442
Total DFT energy (no corrections) (eV per cell): -37.0

Structure (CIF):
```
data_Ba2Ag3Sb4Pb
_cell_length_a 5.002
_cell_length_b 5.002
_cell_length_c 12.100
_cell_angle_alpha 90.00
_cell_angle_beta 90.00
_cell_angle_gamma 90.00
_symmetry_space_group_name_H-M 'P -4 m 2'
_symmetry_Int_Tables_number 115
_symmetry_space_group_name_Hall 'P -4 -2'
loop_
_atom_site_label
_atom_site_fract_x
_atom_site_fract_y
_atom_site_fract_z
Ba1 0.000 0.500 0.234
Ag1 0.000 0.500 0.880
Ag2 0.500 0.500 0.500
Sb1 0.000 0.000 0.000
Sb2 0.000 0.500 0.651
Sb3 0.500 0.500 0.000
Pb1 0.000 0.000 0.500
```